A relaxed MnFe2Sb2P6O24 crystal, computed with PBE with a Hubbard U.

Electronic total energy in eV per atom: -7.04

Cell lengths 8.7910, 8.7910, 8.7910 Å; angles 57.96, 57.96, 57.96 degrees
Last column: nearest neighbours and their distance in Å.
Element x y z (fractional)
Mn (0.0000, 0.0000, 0.0000)  6 O 2.32
Fe (0.1461, 0.1461, 0.1461)  6 O 1.95-2.09
Fe (0.8539, 0.8539, 0.8539)  6 O 1.95-2.09
Sb (0.3565, 0.3565, 0.3565)  6 O 1.98
Sb (0.6435, 0.6435, 0.6435)  6 O 1.98
P (0.0362, 0.7563, 0.4549)  4 O 1.51-1.57
P (0.2437, 0.5451, 0.9638)  4 O 1.51-1.57
P (0.4549, 0.0362, 0.7563)  4 O 1.51-1.57
P (0.5451, 0.9638, 0.2437)  4 O 1.51-1.57
P (0.7563, 0.4549, 0.0362)  4 O 1.51-1.57
P (0.9638, 0.2437, 0.5451)  4 O 1.51-1.57
O (0.0018, 0.8124, 0.6089)  1 P 1.51
O (0.0976, 0.8946, 0.2484)  1 P 1.54
O (0.1054, 0.7516, 0.9024)  1 P 1.54
O (0.1518, 0.2429, 0.5272)  1 P 1.57
O (0.1876, 0.3911, 0.9982)  1 P 1.51
O (0.1940, 0.5523, 0.4801)  1 P 1.57
O (0.2429, 0.5272, 0.1518)  1 P 1.57
O (0.2484, 0.0976, 0.8946)  1 P 1.54
O (0.3911, 0.9982, 0.1876)  1 P 1.51
O (0.4477, 0.5199, 0.8060)  1 P 1.57
O (0.4728, 0.8482, 0.7571)  1 P 1.57
O (0.4801, 0.1940, 0.5523)  1 P 1.57
O (0.5199, 0.8060, 0.4477)  1 P 1.57
O (0.5272, 0.1518, 0.2429)  1 P 1.57
O (0.5523, 0.4801, 0.1940)  1 P 1.57
O (0.6089, 0.0018, 0.8124)  1 P 1.51
O (0.7516, 0.9024, 0.1054)  1 P 1.54
O (0.7571, 0.4728, 0.8482)  1 P 1.57
O (0.8060, 0.4477, 0.5199)  1 P 1.57
O (0.8124, 0.6089, 0.0018)  1 P 1.51
O (0.8482, 0.7571, 0.4728)  1 P 1.57
O (0.8946, 0.2484, 0.0976)  1 P 1.54
O (0.9024, 0.1054, 0.7516)  1 P 1.54
O (0.9982, 0.1876, 0.3911)  1 P 1.51